Material: RbAgSbTe2
Method: DFT, PBE-GGA
State: relaxed

Output
Energy relative to the lowest polymorph listed for this composition in meV/atom: 1520
Energy relative to the elements, uncorrected in eV/f.u.: 6.0

Unit cell a=6.278 b=6.278 c=6.085 alpha=90.00 beta=90.00 gamma=90.00
Atoms (fractional coordinates):
Sb 0.000 0.000 0.500
Te 0.500 0.000 0.000
Te 0.000 0.500 0.000
Ag 0.500 0.500 0.500
Rb 0.000 0.000 0.000


Material: Ce2CuS2O
Method: DFT, PBE-GGA
State: relaxed

Output
Energy relative to the elements, uncorrected in eV/f.u.: -4.1

Unit cell a=4.012 b=4.012 c=13.297 alpha=90.00 beta=90.00 gamma=90.00
Atoms (fractional coordinates):
Ce 0.500 0.500 0.658
Ce 0.500 0.500 0.342
Cu 0.500 0.500 0.000
O 0.500 0.500 0.500
S 0.500 0.500 0.159
S 0.500 0.500 0.841


Material: TmAlAs
Method: DFT, PBE-GGA
State: relaxed

Unit cell a=4.652 b=4.652 c=8.234 alpha=73.59 beta=73.59 gamma=60.00
Atoms (fractional coordinates):
Tm 0.587 0.587 0.238
Tm 0.413 0.413 0.762
Al 0.823 0.823 0.530
Al 0.177 0.177 0.470
As 0.284 0.284 0.148
As 0.716 0.716 0.852


Material: Cs2Hg6TeAu
Method: DFT, PBE-GGA
State: relaxed

Output
Energy relative to the elements, uncorrected in eV/f.u.: -2.4

Unit cell a=8.322 b=8.850 c=10.340 alpha=90.00 beta=90.00 gamma=90.00
Atoms (fractional coordinates):
Hg 0.196 0.622 0.000
Hg 0.817 0.991 0.500
Hg 0.696 0.378 0.500
Hg 0.683 0.009 0.000
Hg 0.000 0.837 0.726
Hg 0.304 0.378 0.500
Hg 0.500 0.163 0.774
Hg 0.804 0.622 0.000
Hg 0.500 0.163 0.226
Hg 0.000 0.837 0.274
Hg 0.183 0.991 0.500
Hg 0.317 0.009 0.000
Au 0.500 0.106 0.500
Au 0.000 0.894 0.000
Te 0.000 0.580 0.500
Te 0.500 0.420 0.000
Cs 0.000 0.277 0.783
Cs 0.000 0.277 0.217
Cs 0.500 0.723 0.717
Cs 0.500 0.723 0.283


no.,calculated total energy (eV/atom),calculated volume (A^3/atom)
1,-1.639,47.96
2,-5.542,35.68
3,-4.935,24.32
4,-1.230,38.08